Record 1
First-principles (PBEsol) data for a relaxed structure of K2NaNdCl6, as listed in the Alexandria database.

Summary:
The value obtained for the mass density is 2.5 g/cm³. As for the uncorrected formation energy: -46.22 kcal/mol of atoms.

a = 10.7108 Å, b = 10.7108 Å, c = 10.7108 Å
α = 90.00°, β = 90.00°, γ = 90.00°
Space group Fm-3m (No. 225)
Unique sites:
K1 0.2500 0.2500 0.2500 (multiplicity 8)
Na1 0.0000 0.0000 0.0000 (multiplicity 4)
Nd1 0.0000 0.0000 0.5000 (multiplicity 4)
Cl1 0.0000 0.0000 0.2494 (multiplicity 24)

Record 2
First-principles (PBEsol) data for a relaxed structure of K5NaS4Cl2O12, as listed in the Alexandria database.

Summary:
The value obtained for the mass density is 2.4 g/cm³. As for the uncorrected formation energy: -39.61 kcal/mol of atoms.

a = 8.5381 Å, b = 8.5381 Å, c = 11.5262 Å
α = 90.00°, β = 90.00°, γ = 90.00°
Space group P4/mnc (No. 128)
Unique sites:
K1 0.0000 0.0000 0.0000 (multiplicity 2)
K2 0.1885 0.3115 0.2500 (multiplicity 8)
Na1 0.0000 0.0000 0.5000 (multiplicity 2)
S1 0.0737 0.6021 0.5000 (multiplicity 8)
Cl1 0.0000 0.0000 0.2630 (multiplicity 4)
O1 0.0398 0.2695 0.5000 (multiplicity 8)
O2 0.0886 0.6670 0.1064 (multiplicity 16)

Record 3
First-principles (PBEsol) data for a relaxed structure of K2NaS2ClO6, as listed in the Alexandria database.

Summary:
The value obtained for the mass density is 2.4 g/cm³. As for the uncorrected formation energy: -39.45 kcal/mol of atoms.

a = 12.0818 Å, b = 12.0818 Å, c = 5.5446 Å
α = 90.00°, β = 90.00°, γ = 90.00°
Space group P4/n (No. 85, origin choice 2)
Unique sites:
K1 0.0023 0.1926 0.0153 (multiplicity 8)
Na1 0.2500 0.2500 0.4418 (multiplicity 2)
Na2 0.2500 0.7500 0.5000 (multiplicity 2)
S1 0.0109 0.5878 0.4747 (multiplicity 8)
Cl1 0.2500 0.2500 0.9344 (multiplicity 2)
Cl2 0.2500 0.7500 0.0000 (multiplicity 2)
O1 0.0001 0.3967 0.7864 (multiplicity 8)
O2 0.0769 0.3598 0.3825 (multiplicity 8)
O3 0.1074 0.8773 0.4327 (multiplicity 8)

Record 4
First-principles (PBEsol) data for a relaxed structure of K2NaSmCl6, as listed in the Alexandria database.

Summary:
The value obtained for the mass density is 2.6 g/cm³. As for the uncorrected formation energy: -46.56 kcal/mol of atoms.

a = 10.6372 Å, b = 10.6372 Å, c = 10.6372 Å
α = 90.00°, β = 90.00°, γ = 90.00°
Space group Fm-3m (No. 225)
Unique sites:
K1 0.2500 0.2500 0.2500 (multiplicity 8)
Na1 0.0000 0.0000 0.0000 (multiplicity 4)
Sm1 0.0000 0.0000 0.5000 (multiplicity 4)
Cl1 0.0000 0.0000 0.2511 (multiplicity 24)

Record 5
First-principles (PBEsol) data for a relaxed structure of K2NaTlCl6, as listed in the Alexandria database.

Summary:
The value obtained for the mass density is 3.0 g/cm³. As for the uncorrected formation energy: -32.02 kcal/mol of atoms.

a = 10.4542 Å, b = 10.4542 Å, c = 10.4542 Å
α = 90.00°, β = 90.00°, γ = 90.00°
Space group Fm-3m (No. 225)
Unique sites:
K1 0.2500 0.2500 0.2500 (multiplicity 8)
Na1 0.0000 0.0000 0.0000 (multiplicity 4)
Tl1 0.0000 0.0000 0.5000 (multiplicity 4)
Cl1 0.0000 0.0000 0.2547 (multiplicity 24)

Record 6
First-principles (PBEsol) data for a relaxed structure of KNb3Cl, as listed in the Alexandria database.

Summary:
The value obtained for the mass density is 5.6 g/cm³. As for the uncorrected formation energy: 26.23 kcal/mol of atoms.

a = 4.7020 Å, b = 4.7020 Å, c = 4.7020 Å
α = 90.00°, β = 90.00°, γ = 90.00°
Space group Pm-3m (No. 221)
Unique sites:
K1 0.0000 0.0000 0.0000 (multiplicity 1)
Nb1 0.0000 0.5000 0.5000 (multiplicity 3)
Cl1 0.5000 0.5000 0.5000 (multiplicity 1)

Record 7
First-principles (PBEsol) data for a relaxed structure of KNb2Cl11, as listed in the Alexandria database.

Summary:
The value obtained for the mass density is 2.6 g/cm³. As for the uncorrected formation energy: -30.77 kcal/mol of atoms.

a = 6.8636 Å, b = 6.9703 Å, c = 17.2105 Å
α = 78.88°, β = 79.53°, γ = 87.85°
Space group P-1 (No. 2)
Unique sites:
K1 0.2467 0.2463 0.0035 (multiplicity 2)
Nb1 0.1817 0.6725 0.1543 (multiplicity 2)
Nb2 0.3296 0.8251 0.5899 (multiplicity 2)
Cl1 0.0183 0.8726 0.6544 (multiplicity 2)
Cl2 0.0447 0.0638 0.8729 (multiplicity 2)
Cl3 0.0690 0.5435 0.8524 (multiplicity 2)
Cl4 0.0979 0.6581 0.2901 (multiplicity 2)
Cl5 0.2214 0.7116 0.4872 (multiplicity 2)
Cl6 0.2740 0.7018 0.0069 (multiplicity 2)
Cl7 0.3259 0.1614 0.4998 (multiplicity 2)
Cl8 0.4060 0.4140 0.1676 (multiplicity 2)
Cl9 0.4079 0.5231 0.6527 (multiplicity 2)
Cl10 0.4344 0.9069 0.1393 (multiplicity 2)
Cl11 0.4782 0.9846 0.6700 (multiplicity 2)

Record 8
First-principles (PBEsol) data for a relaxed structure of K2Nb3Cl7O5, as listed in the Alexandria database.

Summary:
The value obtained for the mass density is 3.0 g/cm³. As for the uncorrected formation energy: -45.46 kcal/mol of atoms.

a = 16.7959 Å, b = 8.9116 Å, c = 11.1692 Å
α = 90.00°, β = 113.67°, γ = 90.00°
Space group C2/c (No. 15)
Unique sites:
K1 0.1984 0.0404 0.3546 (multiplicity 8)
Nb1 0.0000 0.4598 0.2500 (multiplicity 4)
Nb2 0.0033 0.2128 0.9728 (multiplicity 8)
Cl1 0.0000 0.0869 0.7500 (multiplicity 4)
Cl2 0.1537 0.2129 0.6366 (multiplicity 8)
Cl3 0.1542 0.4239 0.3444 (multiplicity 8)
Cl4 0.1589 0.2043 0.0494 (multiplicity 8)
O1 0.0000 0.0000 0.0000 (multiplicity 4)
O2 0.0022 0.3986 0.8751 (multiplicity 8)
O3 0.0033 0.2861 0.1240 (multiplicity 8)

> What is the uncorrected formation energy in the first record?

-46.22 kcal/mol of atoms

> Which of these has the highest mass density?

KNb3Cl